Record 1
Computed, not measured: KCuTe2OsSe after structural relaxation at the PBE level of DFT.

Values from the calculation:
VASP energy, eV per atom: -4.4454

```
data_KCuTe2OsSe
_space_group_name_H-M_alt 'C m c m'
_space_group_IT_number 63
_space_group_name_Hall '-C 2c 2'
_cell_length_a 4.007
_cell_length_b 15.664
_cell_length_c 9.935
_cell_angle_alpha 90.00
_cell_angle_beta 90.00
_cell_angle_gamma 90.00
loop_
_atom_site_label
_atom_site_fract_x
_atom_site_fract_y
_atom_site_fract_z
K1 0.000 0.249 0.250
Cu1 0.000 0.477 0.750
Te1 0.000 0.387 0.538
Os1 0.000 0.000 0.000
Se1 0.000 0.066 0.750
```

Record 2
Computed, not measured: KCu3Te4Os after structural relaxation at the PBE level of DFT.

Values from the calculation:
VASP energy, eV per atom: -3.8866

```
data_KCu3Te4Os
_space_group_name_H-M_alt 'P -4 3 m'
_space_group_IT_number 215
_space_group_name_Hall 'P -4 2 3'
_cell_length_a 6.495
_cell_length_b 6.495
_cell_length_c 6.495
_cell_angle_alpha 90.00
_cell_angle_beta 90.00
_cell_angle_gamma 90.00
loop_
_atom_site_label
_atom_site_fract_x
_atom_site_fract_y
_atom_site_fract_z
K1 0.000 0.000 0.000
Cu1 0.000 0.500 0.500
Te1 0.277 0.277 0.277
Os1 0.500 0.500 0.500
```

Record 3
Computed, not measured: KCu2P4 after structural relaxation at the PBE level of DFT.

Values from the calculation:
VASP energy, eV per atom: -4.5538

```
data_KCu2P4
_space_group_name_H-M_alt 'I 4/m m m'
_space_group_IT_number 139
_space_group_name_Hall '-I 4 2'
_cell_length_a 6.623
_cell_length_b 6.623
_cell_length_c 6.026
_cell_angle_alpha 90.00
_cell_angle_beta 90.00
_cell_angle_gamma 90.00
loop_
_atom_site_label
_atom_site_fract_x
_atom_site_fract_y
_atom_site_fract_z
K1 0.000 0.000 0.000
Cu1 0.000 0.500 0.250
P1 0.000 0.236 0.500
```

Record 4
Computed, not measured: K5CuP2 after structural relaxation at the PBE level of DFT.

Values from the calculation:
VASP energy, eV per atom: -2.7922

```
data_K5CuP2
_space_group_name_H-M_alt 'P 63/m m c'
_space_group_IT_number 194
_space_group_name_Hall '-P 6c 2c'
_cell_length_a 5.6446
_cell_length_b 5.6446
_cell_length_c 18.2885
_cell_angle_alpha 90.00
_cell_angle_beta 90.00
_cell_angle_gamma 120.00
loop_
_atom_site_label
_atom_site_fract_x
_atom_site_fract_y
_atom_site_fract_z
K1 0.0000 0.0000 0.1456
K2 0.3333 0.6667 0.0493
K3 0.3333 0.6667 0.2500
Cu1 0.3333 0.6667 0.7500
P1 0.3333 0.6667 0.6281
```

Record 5
Computed, not measured: K4CuP2Pd after structural relaxation at the PBE level of DFT.

Values from the calculation:
VASP energy, eV per atom: -3.3567

```
data_K4CuP2Pd
_space_group_name_H-M_alt 'C 1 2/m 1'
_space_group_IT_number 12
_cell_length_a 7.621
_cell_length_b 9.851
_cell_length_c 5.630
_cell_angle_alpha 90.00
_cell_angle_beta 91.47
_cell_angle_gamma 90.00
loop_
_space_group_symop_operation_xyz
'x,y,z'
'-x,-y,-z'
'-x,y,-z'
'x,-y,z'
'x+1/2,y+1/2,z'
'-x+1/2,-y+1/2,-z'
'-x+1/2,y+1/2,-z'
'x+1/2,-y+1/2,z'
loop_
_atom_site_label
_atom_site_fract_x
_atom_site_fract_y
_atom_site_fract_z
K1 0.146 0.170 0.253
Cu1 0.000 0.500 0.000
P1 0.241 0.500 0.240
Pd1 0.000 0.500 0.500
```

Record 6
Computed, not measured: K4CuP2Pt after structural relaxation at the PBE level of DFT.

Values from the calculation:
VASP energy, eV per atom: -3.5050

```
data_K4CuP2Pt
_space_group_name_H-M_alt 'C 1 2/m 1'
_space_group_IT_number 12
_cell_length_a 7.564
_cell_length_b 9.838
_cell_length_c 5.607
_cell_angle_alpha 90.00
_cell_angle_beta 90.92
_cell_angle_gamma 90.00
loop_
_space_group_symop_operation_xyz
'x,y,z'
'-x,-y,-z'
'-x,y,-z'
'x,-y,z'
'x+1/2,y+1/2,z'
'-x+1/2,-y+1/2,-z'
'-x+1/2,y+1/2,-z'
'x+1/2,-y+1/2,z'
loop_
_atom_site_label
_atom_site_fract_x
_atom_site_fract_y
_atom_site_fract_z
K1 0.147 0.171 0.254
Cu1 0.000 0.500 0.000
P1 0.241 0.500 0.243
Pt1 0.000 0.500 0.500
```

Record 7
Computed, not measured: K2RbCu3P2 after structural relaxation at the PBE level of DFT.

Values from the calculation:
VASP energy, eV per atom: -3.4763

```
data_K2RbCu3P2
_space_group_name_H-M_alt 'R -3 m'
_space_group_IT_number 166
_space_group_name_Hall '-R 3 2"'
_cell_length_a 5.7608
_cell_length_b 5.7608
_cell_length_c 20.0001
_cell_angle_alpha 90.00
_cell_angle_beta 90.00
_cell_angle_gamma 120.00
loop_
_atom_site_label
_atom_site_fract_x
_atom_site_fract_y
_atom_site_fract_z
K1 0.0000 0.0000 0.0911
Rb1 0.0000 0.0000 0.5000
Cu1 0.0000 0.5000 0.0000
P1 0.0000 0.0000 0.2571
```

Record 8
Computed, not measured: KRbCu4P2 after structural relaxation at the PBE level of DFT.

Values from the calculation:
VASP energy, eV per atom: -3.6628

```
data_KRbCu4P2
_space_group_name_H-M_alt 'I -4 m 2'
_space_group_IT_number 119
_space_group_name_Hall 'I -4 -2'
_cell_length_a 5.380
_cell_length_b 5.380
_cell_length_c 13.910
_cell_angle_alpha 90.00
_cell_angle_beta 90.00
_cell_angle_gamma 90.00
loop_
_atom_site_label
_atom_site_fract_x
_atom_site_fract_y
_atom_site_fract_z
K1 0.000 0.000 0.000
Rb1 0.000 0.500 0.750
Cu1 0.000 0.253 0.376
P1 0.000 0.000 0.500
P2 0.000 0.500 0.250
```

Record 9
Computed, not measured: K3CuP2S7 after structural relaxation at the PBE level of DFT.

Values from the calculation:
VASP energy, eV per atom: -4.3474

```
data_K3CuP2S7
_space_group_name_H-M_alt 'P 1 21/c 1'
_space_group_IT_number 14
_cell_length_a 15.217
_cell_length_b 6.739
_cell_length_c 13.217
_cell_angle_alpha 90.00
_cell_angle_beta 98.80
_cell_angle_gamma 90.00
loop_
_space_group_symop_operation_xyz
'x,y,z'
'-x,-y,-z'
'-x,y+1/2,-z+1/2'
'x,-y+1/2,z+1/2'
loop_
_atom_site_label
_atom_site_fract_x
_atom_site_fract_y
_atom_site_fract_z
K1 0.027 0.221 0.403
K2 0.199 0.740 0.816
K3 0.428 0.151 0.842
Cu1 0.305 0.521 0.065
P1 0.146 0.240 0.669
P2 0.338 0.000 0.114
S1 0.014 0.196 0.147
S2 0.165 0.520 0.093
S3 0.193 0.016 0.086
S4 0.207 0.237 0.815
S5 0.360 0.702 0.504
S6 0.384 0.602 0.755
S7 0.396 0.236 0.583
```

Record 10
Computed, not measured: K4CuP2S8 after structural relaxation at the PBE level of DFT.

Values from the calculation:
VASP energy, eV per atom: -4.2508

```
data_K4CuP2S8
_space_group_name_H-M_alt 'P -1'
_space_group_IT_number 2
_cell_length_a 6.448
_cell_length_b 6.908
_cell_length_c 9.079
_cell_angle_alpha 87.29
_cell_angle_beta 81.53
_cell_angle_gamma 84.65
loop_
_space_group_symop_operation_xyz
'x,y,z'
'-x,-y,-z'
loop_
_atom_site_label
_atom_site_fract_x
_atom_site_fract_y
_atom_site_fract_z
K1 0.207 0.160 0.358
K2 0.244 0.721 0.981
Cu1 0.500 0.500 0.500
P1 0.329 0.234 0.759
S1 0.174 0.457 0.644
S2 0.260 0.248 0.984
S3 0.280 0.973 0.684
S4 0.364 0.692 0.315
```

Record 11
Computed, not measured: KCu2PSeS3 after structural relaxation at the PBE level of DFT.

Values from the calculation:
VASP energy, eV per atom: -4.1529

```
data_KCu2PSeS3
_space_group_name_H-M_alt 'C 1 m 1'
_space_group_IT_number 8
_cell_length_a 8.583
_cell_length_b 8.796
_cell_length_c 6.090
_cell_angle_alpha 90.00
_cell_angle_beta 133.26
_cell_angle_gamma 90.00
loop_
_space_group_symop_operation_xyz
'x,y,z'
'x,-y,z'
'x+1/2,y+1/2,z'
'x+1/2,-y+1/2,z'
loop_
_atom_site_label
_atom_site_fract_x
_atom_site_fract_y
_atom_site_fract_z
K1 0.000 0.000 0.000
Cu1 0.001 0.260 0.491
P1 0.481 0.000 0.967
Se1 0.337 0.500 0.372
S1 0.342 0.191 0.975
S2 0.446 0.000 0.593
```

Q: Number 7 is which compound?
A: K2RbCu3P2

Q: Among the records above, which one has the highest VASP energy?
A: K5CuP2